# 1
VASP calculation (GGA-PBE) on a geometry-optimized CdRe2As structure.

DOS at the Fermi energy (states/eV/f.u.): 2.59
Space-group type: No. 119
Energy of formation (eV/atom): 0.74

Lattice parameters (Å, degrees): 4.560 4.560 4.560 120.18 120.18 89.68
Element x y z (fractional)
Cd: 0.000 0.000 0.000
Re: 0.500 0.500 0.000
Re: 0.750 0.250 0.500
As: 0.250 0.750 0.500

---

# 2
VASP calculation (GGA-PBE) on a geometry-optimized Sm2Cd6Ag structure.

DOS at the Fermi energy (states/eV/f.u.): 5.40
Space-group type: No. 191
Energy of formation (eV/atom): -0.19

Lattice parameters (Å, degrees): 8.728 8.728 3.288 90.00 90.00 120.00
Element x y z (fractional)
Sm: 0.333 0.667 0.000
Sm: 0.667 0.333 0.000
Cd: 0.000 0.325 0.500
Cd: 0.000 0.675 0.500
Cd: 0.325 0.000 0.500
Cd: 0.325 0.325 0.500
Cd: 0.675 0.000 0.500
Cd: 0.675 0.675 0.500
Ag: 0.000 0.000 0.000

---

# 3
VASP calculation (GGA-PBE) on a geometry-optimized ZrRu2Br structure.

DOS at the Fermi energy (states/eV/f.u.): 3.58
Space-group type: No. 123
Raw formation energy (eV/atom): 0.19

Lattice parameters (Å, degrees): 3.282 3.282 6.566 90.00 90.00 90.00
Element x y z (fractional)
Zr: 0.000 0.000 0.000
Ru: 0.500 0.500 0.232
Ru: 0.500 0.500 0.768
Br: 0.000 0.000 0.500

---

# 4
VASP calculation (GGA-PBE) on a geometry-optimized Th2Tl3Hg3 structure.

DOS at the Fermi energy (states/eV/f.u.): 6.46
Space-group type: No. 47
Energy of formation (eV/atom): -0.18

Lattice parameters (Å, degrees): 4.753 4.756 9.563 90.00 90.00 90.00
Element x y z (fractional)
Th: 0.000 0.000 0.250
Th: 0.000 0.000 0.750
Tl: 0.000 0.500 0.000
Tl: 0.500 0.500 0.257
Tl: 0.500 0.500 0.743
Hg: 0.000 0.500 0.500
Hg: 0.500 0.000 0.000
Hg: 0.500 0.000 0.500

---

# 5
VASP calculation (GGA-PBE) on a geometry-optimized SrErPd2 structure.

DOS at the Fermi energy (states/eV/f.u.): 1.45
Space-group type: No. 166
Energy of formation (eV/atom): -0.68

Lattice parameters (Å, degrees): 5.894 5.894 5.894 47.66 47.66 47.66
Element x y z (fractional)
Sr: 0.000 0.000 0.000
Er: 0.500 0.500 0.500
Pd: 0.214 0.214 0.214
Pd: 0.786 0.786 0.786

---

# 6
VASP calculation (GGA-PBE) on a geometry-optimized La7CoBr12 structure.

DOS at the Fermi energy (states/eV/f.u.): 11.56
Space-group type: No. 148
Raw formation energy (eV/atom): -1.66

Lattice parameters (Å, degrees): 9.683 9.683 9.683 106.29 106.29 106.29
Element x y z (fractional)
La: 0.000 0.000 0.000
La: 0.195 0.395 0.484
La: 0.395 0.484 0.195
La: 0.484 0.195 0.395
La: 0.516 0.805 0.605
La: 0.605 0.516 0.805
La: 0.805 0.605 0.516
Co: 0.500 0.500 0.500
Br: 0.040 0.333 0.126
Br: 0.126 0.040 0.333
Br: 0.174 0.713 0.566
Br: 0.287 0.434 0.826
Br: 0.333 0.126 0.040
Br: 0.434 0.826 0.287
Br: 0.566 0.174 0.713
Br: 0.667 0.874 0.960
Br: 0.713 0.566 0.174
Br: 0.826 0.287 0.434
Br: 0.874 0.960 0.667
Br: 0.960 0.667 0.874

---

# 7
VASP calculation (GGA-PBE) on a geometry-optimized EuB2H6 structure.

Space-group type: No. 12

Lattice parameters (Å, degrees): 4.256 4.256 5.172 114.83 114.83 86.75
Element x y z (fractional)
Eu: 0.000 0.000 0.000
B: 0.355 0.355 0.807
B: 0.645 0.645 0.193
H: 0.041 0.371 0.746
H: 0.371 0.041 0.746
H: 0.393 0.393 0.598
H: 0.607 0.607 0.402
H: 0.629 0.959 0.254
H: 0.959 0.629 0.254

---

# 8
VASP calculation (GGA-PBE) on a geometry-optimized Ac4CoHg structure.

DOS at the Fermi energy (states/eV/f.u.): 5.46
Space-group type: No. 59
Energy of formation (eV/atom): -0.04

Lattice parameters (Å, degrees): 5.705 8.918 8.568 90.00 90.00 90.00
Element x y z (fractional)
Ac: 0.250 0.046 0.187
Ac: 0.250 0.250 0.764
Ac: 0.250 0.454 0.187
Ac: 0.250 0.750 0.558
Ac: 0.750 0.250 0.442
Ac: 0.750 0.546 0.813
Ac: 0.750 0.750 0.236
Ac: 0.750 0.954 0.813
Co: 0.250 0.250 0.439
Co: 0.750 0.750 0.561
Hg: 0.250 0.750 0.949
Hg: 0.750 0.250 0.051

---

# 9
VASP calculation (GGA-PBE) on a geometry-optimized Cr3Br structure.

DOS at the Fermi energy (states/eV/f.u.): 5.05
Space-group type: No. 221
Raw formation energy (eV/atom): 1.13

Lattice parameters (Å, degrees): 3.782 3.782 3.782 90.00 90.00 90.00
Element x y z (fractional)
Cr: 0.000 0.000 0.500
Cr: 0.000 0.500 0.000
Cr: 0.500 0.000 0.000
Br: 0.500 0.500 0.500

---

# 10
VASP calculation (GGA-PBE) on a geometry-optimized Re2PCl structure.

DOS at the Fermi energy (states/eV/f.u.): 3.63
Space-group type: No. 123
Raw formation energy (eV/atom): 0.53

Lattice parameters (Å, degrees): 2.993 2.993 6.788 90.00 90.00 90.00
Element x y z (fractional)
Re: 0.000 0.000 0.190
Re: 0.000 0.000 0.810
P: 0.500 0.500 0.000
Cl: 0.500 0.500 0.500

---

# 11
VASP calculation (GGA-PBE) on a geometry-optimized KTm2H structure.

DOS at the Fermi energy (states/eV/f.u.): 4.33
Space-group type: No. 166

Lattice parameters (Å, degrees): 10.279 10.279 10.279 20.01 20.01 20.01
Element x y z (fractional)
K: 0.000 0.000 0.000
Tm: 0.124 0.124 0.124
Tm: 0.876 0.876 0.876
H: 0.500 0.500 0.500

---

# 12
VASP calculation (GGA-PBE) on a geometry-optimized RbSi2Pt structure.

DOS at the Fermi energy (states/eV/f.u.): 1.80
Space-group type: No. 141
Raw formation energy (eV/atom): -0.12

Lattice parameters (Å, degrees): 8.577 8.577 8.577 143.63 143.63 52.38
Element x y z (fractional)
Rb: 0.375 0.625 0.750
Rb: 0.625 0.375 0.250
Si: 0.000 0.000 0.000
Si: 0.000 0.000 0.500
Si: 0.000 0.500 0.000
Si: 0.500 0.000 0.500
Pt: 0.125 0.875 0.250
Pt: 0.875 0.125 0.750

---

Number 1: calculated total energy -6.877 eV per atom, total moment 0.000 μB per atom. Number 2: calculated total energy -2.166 eV per atom, total moment 0.033 μB per atom. Number 3: calculated total energy -7.007 eV per atom, total moment 0.000 μB per atom. Number 4: calculated total energy -3.036 eV per atom, total moment 0.000 μB per atom. Number 5: calculated total energy -4.834 eV per atom, total moment 0.000 μB per atom. Number 6: calculated total energy -4.747 eV per atom, total moment 0.005 μB per atom. Number 7: calculated total energy -5.236 eV per atom, total moment 0.778 μB per atom. Number 8: calculated total energy -4.009 eV per atom, total moment 0.000 μB per atom. Number 9: calculated total energy -6.508 eV per atom, total moment 1.209 μB per atom. Number 10: calculated total energy -7.509 eV per atom, total moment 0.000 μB per atom. Number 11: calculated total energy -3.264 eV per atom, total moment 0.140 μB per atom. Number 12: calculated total energy -4.583 eV per atom, total moment 0.000 μB per atom.